1.
First-principles (PBE) data for a relaxed LaP2Pb crystal, as listed in Alexandria.

```
LaP2Pb
1.0
4.059 0.000 0.000
0.000 4.048 -0.163
0.000 0.575 6.536
P La Pb
2 1 1
Cartesian
0.000 1.473 5.980
0.000 1.413 3.742
2.029 3.467 4.779
2.029 1.156 1.593
```

---

2.
PBE LaPPb, relaxed; energy above the most stable polymorph in this dataset = 215 meV/atom
1.0
4.974 0.000 0.000
2.487 4.307 0.000
2.487 1.436 4.061
P La Pb
1 1 1
Cartesian
7.461 4.307 3.046
4.974 2.872 2.031
0.000 0.000 0.000

---

3.
First-principles (PBE) data for a relaxed LaP2Pb crystal, as listed in Alexandria.

```
LaP2Pb
1.0
-3.867 -3.114 -3.923
-0.538 -5.779 -2.520
-4.002 -4.897 0.195
P La Pb
2 1 1
Cartesian
-8.015 -13.146 -5.956
-2.494 -4.091 -1.853
-6.041 -9.909 -4.489
-4.469 -7.330 -3.320
```

---

4.
First-principles (PBE) data for a relaxed LaP2Pb crystal, as listed in Alexandria.

```
LaP2Pb
1.0
6.557 0.000 0.000
0.000 6.557 0.000
3.279 3.279 6.419
P La Pb
4 2 2
Cartesian
8.196 8.278 4.815
4.918 4.836 4.815
4.999 1.639 1.605
1.558 4.918 1.605
3.279 6.557 3.210
3.279 3.279 0.000
6.557 3.279 3.210
0.000 0.000 0.000
```

---

5.
First-principles (PBE) data for a relaxed LaP2Pb crystal, as listed in Alexandria.

```
LaP2Pb
1.0
6.172 -0.013 0.000
3.323 5.201 0.000
-4.747 -2.594 2.971
P Pb La
2 1 1
Cartesian
0.000 0.000 0.000
1.661 2.601 1.486
4.747 2.594 0.000
3.086 -0.007 1.486
```

---

6.
First-principles (PBE) data for a relaxed LaP2Pb2 crystal, as listed in Alexandria.

```
LaP2Pb2
1.0
4.344 0.000 0.000
0.000 4.344 0.000
2.172 2.172 7.004
La P Pb
1 2 2
Cartesian
0.000 0.000 0.000
4.344 4.344 5.917
2.172 2.172 1.086
2.172 4.344 3.502
4.344 2.172 3.502
```

---

We obtain energy of formation values of -0.663, -0.563, -0.233, -0.364, -0.456, -0.393 eV per atom for the records listed above, in that order.